DFT (PBE with a Hubbard U) results for an optimized crystal structure of VAuNF2.

Calculated values
DOS(E_F)   7.00 states/eV/cell
E_tot   -4.257 eV per atom

```
data_VAuNF2
_cell_length_a 4.6802
_cell_length_b 4.6802
_cell_length_c 3.7760
_cell_angle_alpha 90.00
_cell_angle_beta 90.00
_cell_angle_gamma 90.00
_space_group_name_H-M_alt 'P 4/m m m'
_space_group_IT_number 123
_space_group_name_Hall '-P 4 2'
loop_
_atom_site_label
_atom_site_type_symbol
_atom_site_fract_x
_atom_site_fract_y
_atom_site_fract_z
V1 V 0.0000 0.0000 0.0000
Au1 Au 0.5000 0.5000 0.5000
N1 N 0.5000 0.5000 0.0000
F1 F 0.0000 0.5000 0.5000
```